Entry from Alexandria: a relaxed structure of Pr7Sm2Tm2 (PBE).

- SG = C2/m, No. 12
- Fermi-level density of states (states/eV/atom) = 1.46
- relative energy among the computed polymorphs (eV/atom) = 0.005

Lattice parameters (Å, degrees): 8.2114 8.2114 6.1606 105.31 105.31 89.78
Closest atoms and distances in Å follow each position.
Fractional positions:
Pr  0.0000  0.0000  0.0000  4 Pr 3.34, 2 Sm 3.63
Pr  0.0459  0.5863  0.8179  2 Pr 3.19-3.34, 2 Tm 3.40-3.52, 1 Sm 3.42
Pr  0.4137  0.9541  0.1821  2 Pr 3.19-3.34, 2 Tm 3.40-3.52, 1 Sm 3.42
Pr  0.4268  0.4268  0.2013  2 Pr 3.43-3.49, 2 Sm 3.59-3.76, 2 Tm 3.71
Pr  0.5732  0.5732  0.7987  2 Pr 3.43-3.49, 2 Sm 3.59-3.76, 2 Tm 3.71
Pr  0.5863  0.0459  0.8179  2 Pr 3.19-3.34, 2 Tm 3.40-3.52, 1 Sm 3.42
Pr  0.9541  0.4137  0.1821  2 Pr 3.19-3.34, 2 Tm 3.40-3.52, 1 Sm 3.42
Sm  0.2254  0.2254  0.5967  7 Pr 3.42-3.76, 2 Tm 3.52
Sm  0.7746  0.7746  0.4033  7 Pr 3.42-3.76, 2 Tm 3.52
Tm  0.2164  0.7836  0.5000  6 Pr 3.40-3.71, 2 Sm 3.52
Tm  0.7836  0.2164  0.5000  6 Pr 3.40-3.71, 2 Sm 3.52

Entry from Alexandria: a relaxed structure of Gd2ZrAg (PBE).

- SG = R-3m, No. 166
- Fermi-level density of states (states/eV/atom) = 1.01
- relative energy among the computed polymorphs (eV/atom) = 0.385

Lattice parameters (Å, degrees): 11.6367 11.6367 11.6367 16.01 16.01 16.01
Closest atoms and distances in Å follow each position.
Fractional positions:
Gd  0.0920  0.0920  0.0920  1 Zr 3.17, 3 Ag 3.18, 6 Gd 3.24
Gd  0.9080  0.9080  0.9080  1 Zr 3.17, 3 Ag 3.18, 6 Gd 3.24
Zr  0.0000  0.0000  0.0000  2 Gd 3.17, 6 Zr 3.24
Ag  0.5000  0.5000  0.5000  6 Gd 3.18, 6 Ag 3.24

Entry from Alexandria: a relaxed structure of KNdP2Pd4 (PBE).

- SG = P4/mmm, No. 123
- Fermi-level density of states (states/eV/atom) = 0.53
- electronic total energy (eV per atom) = -5.249

Lattice parameters (Å, degrees): 4.1496 4.1496 10.5477 90.00 90.00 90.00
Closest atoms and distances in Å follow each position.
Fractional positions:
K  0.0000  0.0000  0.0000  8 P 3.56, 8 Pd 3.73
Nd  0.0000  0.0000  0.5000  8 Pd 3.01
P  0.5000  0.5000  0.1906  4 Pd 2.34
P  0.5000  0.5000  0.8094  4 Pd 2.34
Pd  0.0000  0.5000  0.2938  2 P 2.34
Pd  0.0000  0.5000  0.7062  2 P 2.34
Pd  0.5000  0.0000  0.2938  2 P 2.34
Pd  0.5000  0.0000  0.7062  2 P 2.34

Entry from Alexandria: a relaxed structure of Sr2GaPt2 (PBE).

- SG = I4/mmm, No. 139
- Fermi-level density of states (states/eV/atom) = 0.49
- electronic total energy (eV per atom) = -4.361

Lattice parameters (Å, degrees): 5.6882 5.6882 5.6882 116.37 116.37 96.42
Closest atoms and distances in Å follow each position.
Fractional positions:
Sr  0.2500  0.7500  0.5000  4 Pt 3.05
Sr  0.7500  0.2500  0.5000  4 Pt 3.05
Ga  0.0000  0.0000  0.0000  2 Pt 2.46
Pt  0.3245  0.3245  0.0000  1 Ga 2.46, 1 Pt 2.66
Pt  0.6755  0.6755  0.0000  1 Ga 2.46, 1 Pt 2.66

Entry from Alexandria: a relaxed structure of Pa2ZnCu3Ni12 (PBE).

- SG = R-3m, No. 166
- Fermi-level density of states (states/eV/atom) = 0.37
- electronic total energy (eV per atom) = -5.430

Lattice parameters (Å, degrees): 7.2775 7.2775 7.2775 60.42 60.42 60.42
Closest atoms and distances in Å follow each position.
Fractional positions:
Pa  0.1208  0.1208  0.1208  6 Ni 2.40-2.43
Pa  0.8792  0.8792  0.8792  6 Ni 2.40-2.43
Zn  0.5000  0.5000  0.5000  6 Ni 2.37
Cu  0.0000  0.5000  0.5000  6 Ni 2.32-2.33
Cu  0.5000  0.0000  0.5000  6 Ni 2.32-2.33
Cu  0.5000  0.5000  0.0000  6 Ni 2.32-2.33
Ni  0.1049  0.6442  0.6442  1 Cu 2.33, 1 Zn 2.37, 1 Pa 2.43, 4 Ni 2.58-2.61
Ni  0.1116  0.1116  0.6368  2 Cu 2.32, 1 Pa 2.40, 2 Ni 2.58
Ni  0.1116  0.6368  0.1116  2 Cu 2.32, 1 Pa 2.40, 2 Ni 2.58
Ni  0.3558  0.3558  0.8951  1 Cu 2.33, 1 Zn 2.37, 1 Pa 2.43, 4 Ni 2.58-2.61
Ni  0.3558  0.8951  0.3558  1 Cu 2.33, 1 Zn 2.37, 1 Pa 2.43, 4 Ni 2.58-2.61
Ni  0.3632  0.8884  0.8884  2 Cu 2.32, 1 Pa 2.40, 2 Ni 2.58
Ni  0.6368  0.1116  0.1116  2 Cu 2.32, 1 Pa 2.40, 2 Ni 2.58
Ni  0.6442  0.1049  0.6442  1 Cu 2.33, 1 Zn 2.37, 1 Pa 2.43, 4 Ni 2.58-2.61
Ni  0.6442  0.6442  0.1049  1 Cu 2.33, 1 Zn 2.37, 1 Pa 2.43, 4 Ni 2.58-2.61
Ni  0.8884  0.3632  0.8884  2 Cu 2.32, 1 Pa 2.40, 2 Ni 2.58
Ni  0.8884  0.8884  0.3632  2 Cu 2.32, 1 Pa 2.40, 2 Ni 2.58
Ni  0.8951  0.3558  0.3558  1 Cu 2.33, 1 Zn 2.37, 1 Pa 2.43, 4 Ni 2.58-2.61

Entry from Alexandria: a relaxed structure of Ce6TcIr3 (PBE).

- SG = P2_1/m, No. 11
- Fermi-level density of states (states/eV/atom) = 2.32
- electronic total energy (eV per atom) = -7.699

Lattice parameters (Å, degrees): 10.7492 4.0731 12.1518 90.00 110.06 90.00
Closest atoms and distances in Å follow each position.
Fractional positions:
Ce  0.0176  0.2500  0.3829  4 Ir 2.83-2.98
Ce  0.0922  0.2500  0.9230  4 Ir 2.79-3.06
Ce  0.2531  0.7500  0.3041  3 Ir 2.81-2.88, 2 Tc 2.94, 1 Ce 2.96
Ce  0.3294  0.7500  0.7949  2 Ir 2.79, 1 Tc 3.07
Ce  0.3690  0.7500  0.1157  3 Ir 2.82-3.05, 1 Ce 2.96, 2 Tc 3.09
Ce  0.3906  0.2500  0.5682  2 Tc 2.69, 2 Ir 2.90
Ce  0.6094  0.7500  0.4318  2 Tc 2.69, 2 Ir 2.90
Ce  0.6310  0.2500  0.8843  3 Ir 2.82-3.05, 1 Ce 2.96, 2 Tc 3.09
Ce  0.6706  0.2500  0.2051  2 Ir 2.79, 1 Tc 3.07
Ce  0.7469  0.2500  0.6959  3 Ir 2.81-2.88, 2 Tc 2.94, 1 Ce 2.96
Ce  0.9078  0.7500  0.0770  4 Ir 2.79-3.06
Ce  0.9824  0.7500  0.6171  4 Ir 2.83-2.98
Tc  0.4555  0.2500  0.3186  4 Ce 2.69-2.94
Tc  0.5445  0.7500  0.6814  4 Ce 2.69-2.94
Ir  0.0922  0.2500  0.1681  6 Ce 2.79-2.98
Ir  0.1859  0.7500  0.5140  6 Ce 2.83-2.90
Ir  0.3893  0.2500  0.9619  6 Ce 2.79-3.06, 2 Ir 3.03
Ir  0.6107  0.7500  0.0381  6 Ce 2.79-3.06, 2 Ir 3.03
Ir  0.8141  0.2500  0.4860  6 Ce 2.83-2.90
Ir  0.9078  0.7500  0.8319  6 Ce 2.79-2.98

Entry from Alexandria: a relaxed structure of Li2TaVN4 (PBE).

- SG = P2/m, No. 10
- Fermi-level density of states (states/eV/atom) = 0.07
- E_form (uncorrected) (meV/atom) = -862

Lattice parameters (Å, degrees): 5.1701 3.0000 5.3469 90.00 108.88 90.00
Closest atoms and distances in Å follow each position.
Fractional positions:
Li  0.0000  0.0000  0.0000  6 N 2.27
Li  0.5000  0.5000  0.0000  6 N 2.21
Ta  0.0000  0.5000  0.5000  6 N 2.08
V  0.5000  0.0000  0.5000  6 N 2.01-2.02
N  0.2498  0.0000  0.7208  1 V 2.01, 2 Ta 2.08, 2 Li 2.21
N  0.2707  0.5000  0.2847  2 V 2.02, 1 Ta 2.08, 1 Li 2.21
N  0.7293  0.5000  0.7153  2 V 2.02, 1 Ta 2.08, 1 Li 2.21
N  0.7502  0.0000  0.2792  1 V 2.01, 2 Ta 2.08, 2 Li 2.21

Entry from Alexandria: a relaxed structure of Ac7Co2Pt2 (PBE).

- SG = C2/m, No. 12
- Fermi-level density of states (states/eV/atom) = 1.01
- electronic total energy (eV per atom) = -5.237

Lattice parameters (Å, degrees): 7.7544 7.7544 7.7385 93.38 93.38 110.93
Closest atoms and distances in Å follow each position.
Fractional positions:
Ac  0.0000  0.0000  0.0000  2 Co 2.64
Ac  0.0466  0.4260  0.7310  1 Co 2.75, 2 Pt 3.05-3.07
Ac  0.4165  0.4165  0.2489  2 Co 2.87-3.03, 2 Pt 3.10
Ac  0.4260  0.0466  0.7310  1 Co 2.75, 2 Pt 3.05-3.07
Ac  0.5740  0.9534  0.2690  1 Co 2.75, 2 Pt 3.05-3.07
Ac  0.5835  0.5835  0.7511  2 Co 2.87-3.03, 2 Pt 3.10
Ac  0.9534  0.5740  0.2690  1 Co 2.75, 2 Pt 3.05-3.07
Co  0.2768  0.2768  0.8971  4 Ac 2.64-2.87
Co  0.7232  0.7232  0.1029  4 Ac 2.64-2.87
Pt  0.3152  0.6848  0.5000  6 Ac 3.05-3.10
Pt  0.6848  0.3152  0.5000  6 Ac 3.05-3.10

> Which of these has the highest Fermi-level density of states?

Ce6TcIr3